# CuP2Se

A relaxed CuP2Se crystal (PBE, Alexandria via LeMat-Bulk).

Cell: 2.5890 2.5890 11.1908 Å, 90.00 90.00 90.05°
Fractional positions:
P (0.0000, 0.0000, 0.5847)
Se (0.5000, 0.5000, 0.2500)
Cu (0.5000, 0.5000, 0.7500)
P (0.0000, 0.0000, 0.9153)

## Properties
* formation energy (no corrections): 0.351 eV/atom
* spin magnetization: 0.000 μB per atom
* electronic total energy: -17.00 eV per formula unit
* relative energy among the computed polymorphs: 1.20 eV/f.u.

---

# CuP2Se

A relaxed CuP2Se crystal (PBE, Alexandria via LeMat-Bulk).

Cell: 3.4645 4.4338 4.6533 Å, 74.83 90.00 90.00°
Fractional positions:
Se (0.5000, 0.2500, 0.2500)
P (0.0000, 0.4640, 0.5712)
Cu (0.5000, 0.7500, 0.7500)
P (0.0000, 0.0360, 0.9288)

## Properties
* formation energy (no corrections): 0.147 eV/atom
* spin magnetization: 0.000 μB per atom
* electronic total energy: -17.81 eV per formula unit
* relative energy among the computed polymorphs: 0.39 eV/f.u.

---

# CuPSe2

A relaxed CuPSe2 crystal (PBE, Alexandria via LeMat-Bulk).

Cell: 6.5423 6.5423 4.5376 Å, 81.47 81.47 32.59°
Fractional positions:
Cu (0.5799, 0.5799, 0.4652)
P (0.1866, 0.1866, 0.0919)
Se (0.7270, 0.7270, 0.7237)
Se (0.0064, 0.0064, 0.2192)

## Properties
* formation energy (no corrections): 0.010 eV/atom
* spin magnetization: 0.000 μB per atom
* electronic total energy: -16.43 eV per formula unit
* relative energy among the computed polymorphs: 0.31 eV/f.u.

---

# CuPSe2

A relaxed CuPSe2 crystal (PBE, Alexandria via LeMat-Bulk).

Cell: 3.5278 7.5859 3.4488 Å, 90.00 90.00 90.00°
Fractional positions:
Se (0.5000, 0.5000, 0.0000)
Se (0.0000, 0.0000, 0.0000)
Cu (0.5000, 0.0000, 0.5000)
P (0.0000, 0.5000, 0.5000)

## Properties
* formation energy (no corrections): 0.347 eV/atom
* spin magnetization: 0.000 μB per atom
* electronic total energy: -15.09 eV per formula unit
* relative energy among the computed polymorphs: 1.65 eV/f.u.

---

# SrCuP2Se8

A relaxed SrCuP2Se8 crystal (PBE, Alexandria via LeMat-Bulk).

Cell: 5.9647 5.9647 9.3024 Å, 90.00 90.00 120.00°
Fractional positions:
Se (0.6667, 0.3333, 0.0111)
Se (0.3062, 0.3439, 0.3222)
P (0.6667, 0.3333, 0.2482)
Se (0.6561, 0.9622, 0.3222)
Se (0.6938, 0.6561, 0.6778)
Cu (0.0000, 0.0000, 0.5000)
Se (0.9622, 0.3062, 0.6778)
Se (0.3439, 0.0378, 0.6778)
Se (0.3333, 0.6667, 0.9889)
P (0.3333, 0.6667, 0.7518)
Se (0.0378, 0.6938, 0.3222)
Sr (0.0000, 0.0000, 0.0000)

## Properties
* formation energy (no corrections): -0.292 eV/atom
* spin magnetization: 0.000 μB per atom
* electronic total energy: -47.98 eV per formula unit

---

# SrCu2PSe4

A relaxed SrCu2PSe4 crystal (PBE, Alexandria via LeMat-Bulk).

Cell: 6.4996 6.3551 6.3551 Å, 79.60 59.24 59.24°
Fractional positions:
P (0.0000, 0.5000, 0.5000)
Se (0.6046, 0.5144, 0.8612)
Cu (0.5000, 0.3368, 0.6632)
Sr (0.0000, 0.0000, 0.0000)
Se (0.0198, 0.8612, 0.5144)
Cu (0.5000, 0.6632, 0.3368)
Se (0.9802, 0.4856, 0.1388)
Se (0.3954, 0.1388, 0.4856)

## Properties
* formation energy (no corrections): -0.483 eV/atom
* spin magnetization: 0.000 μB per atom
* electronic total energy: -33.08 eV per formula unit

---

# TaCu2PSe

A relaxed TaCu2PSe crystal (PBE, Alexandria via LeMat-Bulk).

Cell: 4.3113 4.9661 4.3113 Å, 90.00 90.00 90.00°
Last column: magnetic moment on the atom in μB.
Fractional positions:
Se (0.0000, 0.0000, 0.0000)  0.00
Cu (0.5000, 0.0000, 0.0000)  0.01
Cu (0.0000, 0.0000, 0.5000)  0.02
P (0.5000, 0.5000, 0.5000)  0.00
Ta (0.0000, 0.5000, 0.0000)  0.46

## Properties
* formation energy (no corrections): 0.848 eV/atom
* spin magnetization: 0.137 μB per atom
* electronic total energy: -24.70 eV per formula unit

---

# Th4CuPSe2

A relaxed Th4CuPSe2 crystal (PBE, Alexandria via LeMat-Bulk).

Cell: 4.1312 7.2764 7.3377 Å, 108.91 90.00 90.00°
Fractional positions:
Th (0.0000, 0.7453, 0.2326)
Se (0.5000, 0.0000, 0.5000)
Th (0.5000, 0.2401, 0.2326)
Se (0.0000, 0.5000, 0.5000)
P (0.0000, 0.0000, 0.0000)
Cu (0.5000, 0.5000, 0.0000)
Th (0.5000, 0.7599, 0.7674)
Th (0.0000, 0.2547, 0.7674)

## Properties
* formation energy (no corrections): -1.175 eV/atom
* spin magnetization: 0.000 μB per atom
* electronic total energy: -55.55 eV per formula unit

---

# TiCu2PSe

A relaxed TiCu2PSe crystal (PBE, Alexandria via LeMat-Bulk).

Cell: 4.2827 4.8769 4.2827 Å, 90.00 90.00 90.00°
Last column: magnetic moment on the atom in μB.
Fractional positions:
Cu (0.5000, 0.0000, 0.0000)  -0.01
P (0.0000, 0.0000, 0.0000)  -0.03
Se (0.5000, 0.5000, 0.5000)  -0.02
Cu (0.0000, 0.0000, 0.5000)  -0.01
Ti (0.0000, 0.5000, 0.0000)  0.77

## Properties
* formation energy (no corrections): -0.071 eV/atom
* spin magnetization: 0.170 μB per atom
* electronic total energy: -25.34 eV per formula unit

---

# TlCu2PSe4

A relaxed TlCu2PSe4 crystal (PBE, Alexandria via LeMat-Bulk).

Cell: 6.3643 6.5729 6.5729 Å, 80.51 61.04 61.04°
Fractional positions:
Tl (0.0000, 0.0000, 0.0000)
Se (0.0316, 0.8238, 0.5201)
Se (0.3755, 0.1762, 0.4799)
Se (0.9684, 0.4799, 0.1762)
P (0.0000, 0.5000, 0.5000)
Cu (0.5000, 0.3441, 0.6559)
Se (0.6245, 0.5201, 0.8238)
Cu (0.5000, 0.6559, 0.3441)

## Properties
* formation energy (no corrections): -0.156 eV/atom
* spin magnetization: 0.000 μB per atom
* electronic total energy: -31.15 eV per formula unit

---

# Tm4CuPSe2

A relaxed Tm4CuPSe2 crystal (PBE, Alexandria via LeMat-Bulk).

Cell: 3.9240 6.9276 6.9993 Å, 108.51 90.00 90.00°
Fractional positions:
Tm (0.0000, 0.7407, 0.2328)
Tm (0.0000, 0.2593, 0.7672)
Tm (0.5000, 0.2465, 0.2357)
Tm (0.5000, 0.7535, 0.7643)
P (0.5000, 0.5000, 0.0000)
Se (0.5000, 0.0000, 0.5000)
Se (0.0000, 0.5000, 0.5000)
Cu (0.0000, 0.0000, 0.0000)

## Properties
* formation energy (no corrections): -1.298 eV/atom
* spin magnetization: 0.000 μB per atom
* electronic total energy: -44.75 eV per formula unit

---

# Tm8CuP3Se4

A relaxed Tm8CuP3Se4 crystal (PBE, Alexandria via LeMat-Bulk).

Cell: 7.9347 8.0318 7.9352 Å, 119.60 120.00 90.00°
Fractional positions:
Tm (0.7557, 0.2674, 0.0117)
Tm (0.2560, 0.2674, 0.0117)
Tm (0.2577, 0.2730, 0.5154)
Se (0.0000, 0.0000, 0.0000)
Tm (0.7557, 0.2674, 0.5114)
Tm (0.7423, 0.7270, 0.4846)
Se (0.5000, 0.0000, 0.0000)
P (0.5000, 0.5000, 0.5000)
Cu (0.0000, 0.5000, 0.0000)
Tm (0.7440, 0.7326, 0.9883)
Tm (0.2443, 0.7326, 0.9883)
P (0.0000, 0.5000, 0.5000)
Se (0.5000, 0.0000, 0.5000)
Tm (0.2443, 0.7326, 0.4886)
P (0.5000, 0.5000, 0.0000)
Se (0.0000, 0.0000, 0.5000)

## Properties
* formation energy (no corrections): -1.516 eV/atom
* spin magnetization: 0.000 μB per atom
* electronic total energy: -94.30 eV per formula unit